# GGA-PBE Tl2TcOs, optimized geometry
data_Tl2TcOs
_space_group_name_H-M_alt 'P 1'
_space_group_IT_number 1
_cell_length_a 9.997
_cell_length_b 9.997
_cell_length_c 9.997
_cell_angle_alpha 17.42
_cell_angle_beta 17.42
_cell_angle_gamma 17.42
loop_
_space_group_symop_operation_xyz
'x,y,z'
loop_
_atom_site_label
_atom_site_type_symbol
_atom_site_fract_x
_atom_site_fract_y
_atom_site_fract_z
Tl1 Tl 0.000 0.000 0.000
Tl2 Tl 0.233 0.233 0.233
Tc1 Tc 0.483 0.483 0.483
Os1 Os 0.752 0.752 0.752
# ΔH_f (0 K) = 0.632 eV/atom
# distance to the lowest polymorph of the same formula = 4.43 kcal/mol of atoms
# space group = R3m, No. 160
# crystal system = trigonal